Compound: SrPm2HoSe4
Source: the Alexandria database
Functional: PBE-GGA
Structure: optimized geometry

Summary:
Formation energy (no corrections) = -1.8295 eV per atom
Symmetry = P2/m, No. 10
Raw total energy = -44.335 eV for the cell shown

Unit cell a=7.2862 b=4.1811 c=7.3291 alpha=90.00 beta=108.99 gamma=90.00
Fractional coordinates of all 8 atoms:
Sr 0.0000 0.0000 0.0000
Pm 0.0000 0.5000 0.5000
Pm 0.5000 0.0000 0.5000
Ho 0.5000 0.5000 0.0000
Se 0.2602 0.5000 0.2506
Se 0.2611 0.0000 0.7570
Se 0.7389 0.0000 0.2430
Se 0.7398 0.5000 0.7494

Compound: Ca2YEr
Source: the Alexandria database
Functional: PBE-GGA
Structure: optimized geometry

Summary:
Symmetry = R3m, No. 160
Raw total energy = -14.481 eV for the cell shown
Formation energy = 0.5 eV/f.u.
Energy above the lowest structure with this stoichiometry = 0 meV/atom

Unit cell a=12.4548 b=12.4548 c=12.4548 alpha=16.88 beta=16.88 gamma=16.88
Fractional coordinates of all 4 atoms:
Ca 0.0000 0.0000 0.0000
Ca 0.1645 0.1645 0.1645
Y 0.5822 0.5822 0.5822
Er 0.4157 0.4157 0.4157

Compound: Sr5HoTl6
Source: the Alexandria database
Functional: PBE-GGA
Structure: optimized geometry

Summary:
Symmetry = Cmmm, No. 65
Raw total energy = -32.010 eV for the cell shown
Formation energy = -4.8 eV/f.u.

Unit cell a=9.0733 b=9.0733 c=8.0471 alpha=90.00 beta=90.00 gamma=143.24
Fractional coordinates of all 12 atoms:
Sr 0.0000 0.0000 0.0000
Sr 0.3297 0.6703 0.0000
Sr 0.3304 0.6696 0.5000
Sr 0.6703 0.3297 0.0000
Sr 0.6696 0.3304 0.5000
Ho 0.0000 0.0000 0.5000
Tl 0.1579 0.8421 0.2648
Tl 0.1579 0.8421 0.7352
Tl 0.5000 0.5000 0.2690
Tl 0.5000 0.5000 0.7310
Tl 0.8421 0.1579 0.2648
Tl 0.8421 0.1579 0.7352

Compound: Ba6Sb2Rh
Source: the Alexandria database
Functional: PBE-GGA
Structure: optimized geometry

Summary:
Formation energy (no corrections) = -0.5771 eV per atom
Symmetry = P2_1/c, No. 14
Raw total energy = -64.653 eV for the cell shown

Unit cell a=7.8475 b=10.7055 c=11.1101 alpha=90.00 beta=122.30 gamma=90.00
Fractional coordinates of all 18 atoms:
Ba 0.1292 0.1271 0.4548
Ba 0.1292 0.3729 0.9548
Ba 0.3016 0.7413 0.4320
Ba 0.3016 0.7587 0.9320
Ba 0.3501 0.0362 0.1847
Ba 0.3501 0.4638 0.6847
Ba 0.6499 0.5362 0.3153
Ba 0.6499 0.9638 0.8153
Ba 0.6984 0.2413 0.0680
Ba 0.6984 0.2587 0.5680
Ba 0.8708 0.6271 0.0452
Ba 0.8708 0.8729 0.5452
Sb 0.2029 0.1005 0.8058
Sb 0.2029 0.3995 0.3058
Sb 0.7971 0.6005 0.6942
Sb 0.7971 0.8995 0.1942
Rh 0.5000 0.0000 0.5000
Rh 0.5000 0.5000 0.0000

Compound: CuBiPb2
Source: the Alexandria database
Functional: PBE-GGA
Structure: optimized geometry

Summary:
Symmetry = I-42d, No. 122
Raw total energy = -28.431 eV for the cell shown
Formation energy = 1.2 eV/f.u.

Unit cell a=9.0589 b=9.0589 c=9.0589 alpha=142.82 beta=142.82 gamma=53.60
Fractional coordinates of all 8 atoms:
Cu 0.0000 0.0000 0.0000
Cu 0.7500 0.2500 0.5000
Bi 0.2500 0.7500 0.5000
Bi 0.5000 0.5000 0.0000
Pb 0.0417 0.6250 0.9167
Pb 0.3750 0.2917 0.4167
Pb 0.7083 0.1250 0.0833
Pb 0.8750 0.9583 0.5833

Compound: CuPBrCl2
Source: the Alexandria database
Functional: PBE-GGA
Structure: optimized geometry

Summary:
Formation energy (no corrections) = 0.2575 eV per atom
Symmetry = P4/mmm, No. 123
Raw total energy = -13.585 eV for the cell shown
Energy above the lowest structure with this stoichiometry = 0 meV/atom

Unit cell a=4.7732 b=4.7732 c=5.2283 alpha=90.00 beta=90.00 gamma=90.00
Fractional coordinates of all 5 atoms:
Cu 0.0000 0.0000 0.0000
P 0.5000 0.5000 0.5000
Br 0.5000 0.5000 0.0000
Cl 0.0000 0.5000 0.5000
Cl 0.5000 0.0000 0.5000

Compound: Mg2TlIn
Source: the Alexandria database
Functional: PBE-GGA
Structure: optimized geometry

Summary:
Symmetry = Cm, No. 8
Raw total energy = -8.424 eV for the cell shown
Formation energy = -0.1 eV/f.u.

Unit cell a=3.4929 b=3.4929 c=9.8737 alpha=101.57 beta=101.57 gamma=57.76
Fractional coordinates of all 4 atoms:
Mg 0.0000 0.0000 0.0000
Mg 0.1697 0.1697 0.4958
Tl 0.5801 0.5801 0.7469
In 0.4163 0.4163 0.2483

Compound: Pr6Sm8Mg
Source: the Alexandria database
Functional: PBE-GGA
Structure: optimized geometry

Summary:
Symmetry = R-3, No. 148
Raw total energy = -66.743 eV for the cell shown
Formation energy = 1.3 eV/f.u.
Energy above the lowest structure with this stoichiometry = 0 meV/atom

Unit cell a=8.8030 b=8.8030 c=8.8030 alpha=63.24 beta=63.24 gamma=63.24
Fractional coordinates of all 15 atoms:
Pr 0.0449 0.7392 0.5948
Pr 0.2608 0.4052 0.9551
Pr 0.4052 0.9551 0.2608
Pr 0.5948 0.0449 0.7392
Pr 0.7392 0.5948 0.0449
Pr 0.9551 0.2608 0.4052
Sm 0.0771 0.0771 0.0771
Sm 0.2132 0.2542 0.6101
Sm 0.2542 0.6101 0.2132
Sm 0.3899 0.7868 0.7458
Sm 0.6101 0.2132 0.2542
Sm 0.7458 0.3899 0.7868
Sm 0.7868 0.7458 0.3899
Sm 0.9229 0.9229 0.9229
Mg 0.5000 0.5000 0.5000

Compound: SrNiW2
Source: the Alexandria database
Functional: PBE-GGA
Structure: optimized geometry

Summary:
Symmetry = F-43m, No. 216
Raw total energy = -29.445 eV for the cell shown
Formation energy = 3.9 eV/f.u.
Energy above the lowest structure with this stoichiometry = 412 meV/atom

Unit cell a=4.6601 b=4.6601 c=4.6601 alpha=60.00 beta=60.00 gamma=60.00
Fractional coordinates of all 4 atoms:
Sr 0.0000 0.0000 0.0000
Ni 0.7500 0.7500 0.7500
W 0.2500 0.2500 0.2500
W 0.5000 0.5000 0.5000

Compound: Pm2Zn3AgPt4
Source: the Alexandria database
Functional: PBE-GGA
Structure: optimized geometry

Summary:
Symmetry = P-4m2, No. 115
Raw total energy = -47.416 eV for the cell shown
Formation energy = -7.1 eV/f.u.

Unit cell a=4.0817 b=4.0817 c=11.6037 alpha=90.00 beta=90.00 gamma=90.00
Fractional coordinates of all 10 atoms:
Pm 0.0000 0.5000 0.2438
Pm 0.5000 0.0000 0.7562
Zn 0.0000 0.5000 0.8697
Zn 0.5000 0.0000 0.1303
Zn 0.5000 0.5000 0.5000
Ag 0.0000 0.0000 0.5000
Pt 0.0000 0.0000 0.0000
Pt 0.0000 0.5000 0.6560
Pt 0.5000 0.0000 0.3440
Pt 0.5000 0.5000 0.0000

Q: The highest raw total energy belongs to which entry?
A: Mg2TlIn

Q: Number 8 is which compound?
A: Pr6Sm8Mg